# 1
This record from Alexandria via LeMat-Bulk describes a relaxed structure of Tl2GeBTe. The functional is PBE-GGA.

abc: 6.3319 4.2055 6.3319
angles: 90.00 90.00 90.00
Positions (direct):
Tl  0.0000  0.0000  0.5000
Tl  0.5000  0.0000  0.0000
Te  0.0000  0.0000  0.0000
Ge  0.5000  0.5000  0.5000
B  0.0000  0.5000  0.0000

The total energy is -2.745 eV per atom. The calculated volume comes out at 169 Å³/cell. The calculation puts the density of states at the Fermi level at 2.53 states/eV per cell. The calculation puts the formation energy from raw total energies at 25.11 kcal/mol of atoms. The crystal system is tetragonal.

***

# 2
This record from Alexandria via LeMat-Bulk describes a relaxed structure of MgBr2Cl. The functional is PBE-GGA.

abc: 9.2812 9.2812 9.2812
angles: 24.48 24.48 24.48
Each line ends with the local moment (μB).
Positions (direct):
Mg  0.5000  0.5000  0.5000  0.00
Br  0.8881  0.8881  0.8881  0.09
Br  0.1119  0.1119  0.1119  0.09
Cl  0.0000  0.0000  0.0000  0.59

The total energy is -2.508 eV per atom. The calculated volume comes out at 121 Å³/cell. The calculation puts the density of states at the Fermi level at 1.71 states/eV per cell. The calculation puts the formation energy from raw total energies at -18.72 kcal/mol of atoms. As for the energy relative to the lowest polymorph listed for this composition: 178.4 meV per atom. The crystal system is trigonal.